Entry 1:
# In8Ga2Sn, optimized geometry, DFT PBE
# - DOS(E_F) (states/eV/atom) = 0.402
# - ΔE to the lowest computed polymorph (meV/atom) = 0
# - ΔH_f (0 K) (meV per atom) = 48.7
# - total energy (eV/atom) = -2.86
# - size of the total moment (μB per cell) = 0.000
data_In8Ga2Sn
_chemical_formula_sum 'In16 Ga4 Sn2'
_symmetry_space_group_name_H-M 'C 1 2/m 1'
_symmetry_Int_Tables_number 12
_symmetry_space_group_name_Hall '-C 2y'
_cell_length_a 16.405
_cell_length_b 6.342
_cell_length_c 5.654
_cell_angle_alpha 90.00
_cell_angle_beta 101.73
_cell_angle_gamma 90.00
loop_
_atom_site_label
_atom_site_type_symbol
_atom_site_fract_x
_atom_site_fract_y
_atom_site_fract_z
_atom_site_occupancy
In1 In 0.096 0.246 0.023 1
In2 In 0.097 0.500 0.510 1
In3 In 0.202 0.000 0.555 1
Ga1 Ga 0.244 0.500 0.920 1
Sn1 Sn 0.000 0.000 0.500 1

Entry 2:
# NaCaPd2Ru, optimized geometry, DFT PBE
# - DOS(E_F) (states/eV/atom) = 1.220
# - ΔE to the lowest computed polymorph (meV/atom) = 0
# - ΔH_f (0 K) (meV per atom) = 511.8
# - total energy (eV/atom) = -4.08
# - size of the total moment (μB per cell) = 0.000
data_NaCaPd2Ru
_chemical_formula_sum 'Na1 Ca1 Pd2 Ru1'
_symmetry_space_group_name_H-M 'P 4/m m m'
_symmetry_Int_Tables_number 123
_symmetry_space_group_name_Hall '-P 4 2'
_cell_length_a 4.884
_cell_length_b 4.884
_cell_length_c 5.007
_cell_angle_alpha 90.00
_cell_angle_beta 90.00
_cell_angle_gamma 90.00
loop_
_atom_site_label
_atom_site_type_symbol
_atom_site_fract_x
_atom_site_fract_y
_atom_site_fract_z
_atom_site_occupancy
Na1 Na 0.000 0.000 0.000 1
Ca1 Ca 0.500 0.500 0.000 1
Pd1 Pd 0.000 0.500 0.500 1
Ru1 Ru 0.000 0.000 0.500 1

Entry 3:
# CsLi3Hg4I12, optimized geometry, DFT PBE
# - DOS(E_F) (states/eV/atom) = 0.000
# - ΔE_f (raw) (eV per atom) = -0.647
# - total energy (eV/atom) = -1.97
# - size of the total moment (μB per cell) = 0.000
data_CsLi3Hg4I12
_chemical_formula_sum 'Cs3 Li9 Hg12 I36'
_symmetry_space_group_name_H-M 'R 3 2'
_symmetry_Int_Tables_number 155
_symmetry_space_group_name_Hall 'R 3 2"'
_cell_length_a 16.3056
_cell_length_b 16.3056
_cell_length_c 11.6475
_cell_angle_alpha 90.00
_cell_angle_beta 90.00
_cell_angle_gamma 120.00
loop_
_atom_site_label
_atom_site_type_symbol
_atom_site_fract_x
_atom_site_fract_y
_atom_site_fract_z
_atom_site_occupancy
Cs1 Cs 0.0000 0.0000 0.0000 1
Li1 Li 0.0000 0.5589 0.0000 1
Hg1 Hg 0.0000 0.0000 0.5000 1
Hg2 Hg 0.0000 0.4320 0.5000 1
I1 I 0.0000 0.6032 0.5000 1
I2 I 0.0000 0.8300 0.5000 1
I3 I 0.0672 0.2282 0.1744 1

Entry 4:
# Sr4Os, optimized geometry, DFT PBE
# - DOS(E_F) (states/eV/atom) = 1.134
# - ΔH_f (0 K) (meV per atom) = 379.9
# - total energy (eV/atom) = -3.21
# - size of the total moment (μB per cell) = 0.738
data_Sr4Os
_chemical_formula_sum 'Sr4 Os1'
_symmetry_space_group_name_H-M 'P m -3 m'
_symmetry_Int_Tables_number 221
_symmetry_space_group_name_Hall '-P 4 2 3'
_cell_length_a 5.991
_cell_length_b 5.991
_cell_length_c 5.991
_cell_angle_alpha 90.00
_cell_angle_beta 90.00
_cell_angle_gamma 90.00
loop_
_atom_site_label
_atom_site_type_symbol
_atom_site_fract_x
_atom_site_fract_y
_atom_site_fract_z
_atom_site_occupancy
Sr1 Sr 0.000 0.000 0.000 1
Sr2 Sr 0.000 0.500 0.500 1
Os1 Os 0.500 0.500 0.500 1

Entry 5:
# HfBiO2F, optimized geometry, DFT PBE
# - DOS(E_F) (states/eV/atom) = 0.921
# - ΔE_f (raw) (eV per atom) = -0.461
# - total energy (eV/atom) = -5.59
# - size of the total moment (μB per cell) = 0.000
data_HfBiO2F
_chemical_formula_sum 'Hf1 Bi1 O2 F1'
_symmetry_space_group_name_H-M 'P 4/m m m'
_symmetry_Int_Tables_number 123
_symmetry_space_group_name_Hall '-P 4 2'
_cell_length_a 4.440
_cell_length_b 4.440
_cell_length_c 4.373
_cell_angle_alpha 90.00
_cell_angle_beta 90.00
_cell_angle_gamma 90.00
loop_
_atom_site_label
_atom_site_type_symbol
_atom_site_fract_x
_atom_site_fract_y
_atom_site_fract_z
_atom_site_occupancy
Hf1 Hf 0.000 0.000 0.000 1
Bi1 Bi 0.500 0.500 0.500 1
O1 O 0.000 0.500 0.500 1
F1 F 0.500 0.500 0.000 1

Entry 6:
# Tb2Nd6Mg, optimized geometry, DFT PBE
# - DOS(E_F) (states/eV/atom) = 1.305
# - ΔE to the lowest computed polymorph (meV/atom) = 41
# - ΔH_f (0 K) (meV per atom) = 60.6
# - total energy (eV/atom) = -4.32
# - size of the total moment (μB per cell) = 0.000
data_Tb2Nd6Mg
_chemical_formula_sum 'Tb8 Nd24 Mg4'
_symmetry_space_group_name_H-M 'I b a m'
_symmetry_Int_Tables_number 72
_symmetry_space_group_name_Hall '-I 2 2c'
_cell_length_a 6.172
_cell_length_b 9.524
_cell_length_c 20.333
_cell_angle_alpha 90.00
_cell_angle_beta 90.00
_cell_angle_gamma 90.00
loop_
_atom_site_label
_atom_site_type_symbol
_atom_site_fract_x
_atom_site_fract_y
_atom_site_fract_z
_atom_site_occupancy
Tb1 Tb 0.052 0.170 0.000 1
Nd1 Nd 0.000 0.500 0.081 1
Nd2 Nd 0.099 0.175 0.329 1
Mg1 Mg 0.000 0.500 0.250 1

Entry 7:
# Ca2SmBi, optimized geometry, DFT PBE
# - DOS(E_F) (states/eV/atom) = 0.812
# - ΔE to the lowest computed polymorph (meV/atom) = 353
# - ΔH_f (0 K) (meV per atom) = -7.0
# - total energy (eV/atom) = -3.16
# - size of the total moment (μB per cell) = 0.000
data_Ca2SmBi
_chemical_formula_sum 'Ca6 Sm3 Bi3'
_symmetry_space_group_name_H-M 'R -3 m'
_symmetry_Int_Tables_number 166
_symmetry_space_group_name_Hall '-R 3 2"'
_cell_length_a 3.6883
_cell_length_b 3.6883
_cell_length_c 37.4205
_cell_angle_alpha 90.00
_cell_angle_beta 90.00
_cell_angle_gamma 120.00
loop_
_atom_site_label
_atom_site_type_symbol
_atom_site_fract_x
_atom_site_fract_y
_atom_site_fract_z
_atom_site_occupancy
Ca1 Ca 0.0000 0.0000 0.0856 1
Sm1 Sm 0.0000 0.0000 0.5000 1
Bi1 Bi 0.0000 0.0000 0.0000 1

Entry 8:
# YPdPb, optimized geometry, DFT PBE
# - DOS(E_F) (states/eV/atom) = 0.730
# - ΔH_f (0 K) (meV per atom) = -483.7
# - total energy (eV/atom) = -5.61
# - size of the total moment (μB per cell) = 0.000
data_YPdPb
_chemical_formula_sum 'Y2 Pd2 Pb2'
_symmetry_space_group_name_H-M 'I 4 m m'
_symmetry_Int_Tables_number 107
_symmetry_space_group_name_Hall 'I 4 -2'
_cell_length_a 3.878
_cell_length_b 3.878
_cell_length_c 9.610
_cell_angle_alpha 90.00
_cell_angle_beta 90.00
_cell_angle_gamma 90.00
loop_
_atom_site_label
_atom_site_type_symbol
_atom_site_fract_x
_atom_site_fract_y
_atom_site_fract_z
_atom_site_occupancy
Y1 Y 0.000 0.000 0.000 1
Pd1 Pd 0.000 0.000 0.636 1
Pb1 Pb 0.000 0.000 0.314 1

Entry 9:
# Tb4Cd3Ir, optimized geometry, DFT PBE
# - DOS(E_F) (states/eV/atom) = 0.866
# - ΔH_f (0 K) (meV per atom) = -454.8
# - total energy (eV/atom) = -4.22
# - size of the total moment (μB per cell) = 0.142
data_Tb4Cd3Ir
_chemical_formula_sum 'Tb4 Cd3 Ir1'
_symmetry_space_group_name_H-M 'P 4/m m m'
_symmetry_Int_Tables_number 123
_symmetry_space_group_name_Hall '-P 4 2'
_cell_length_a 3.609
_cell_length_b 3.609
_cell_length_c 15.284
_cell_angle_alpha 90.00
_cell_angle_beta 90.00
_cell_angle_gamma 90.00
loop_
_atom_site_label
_atom_site_type_symbol
_atom_site_fract_x
_atom_site_fract_y
_atom_site_fract_z
_atom_site_occupancy
Tb1 Tb 0.000 0.000 0.105 1
Tb2 Tb 0.000 0.000 0.371 1
Cd1 Cd 0.500 0.500 0.242 1
Cd2 Cd 0.500 0.500 0.500 1
Ir1 Ir 0.500 0.500 0.000 1

Entry 10:
# NaH6Pd4, optimized geometry, DFT PBE
# - DOS(E_F) (states/eV/atom) = 0.149
# - total energy (eV/atom) = -3.73
# - size of the total moment (μB per cell) = 0.000
data_NaH6Pd4
_chemical_formula_sum 'Na2 H12 Pd8'
_symmetry_space_group_name_H-M 'I -4 2 m'
_symmetry_Int_Tables_number 121
_symmetry_space_group_name_Hall 'I -4 2'
_cell_length_a 5.296
_cell_length_b 5.296
_cell_length_c 7.547
_cell_angle_alpha 90.00
_cell_angle_beta 90.00
_cell_angle_gamma 90.00
loop_
_atom_site_label
_atom_site_type_symbol
_atom_site_fract_x
_atom_site_fract_y
_atom_site_fract_z
_atom_site_occupancy
Na1 Na 0.000 0.000 0.000 1
H1 H 0.000 0.500 0.000 1
H2 H 0.152 0.152 0.316 1
Pd1 Pd 0.185 0.185 0.645 1

Entry 11:
# ZrTlOsF2, optimized geometry, DFT PBE
# - DOS(E_F) (states/eV/atom) = 1.075
# - ΔE_f (raw) (eV per atom) = -0.688
# - total energy (eV/atom) = -5.87
# - size of the total moment (μB per cell) = 1.750
data_ZrTlOsF2
_chemical_formula_sum 'Zr1 Tl1 Os1 F2'
_symmetry_space_group_name_H-M 'P 4/m m m'
_symmetry_Int_Tables_number 123
_symmetry_space_group_name_Hall '-P 4 2'
_cell_length_a 4.072
_cell_length_b 4.072
_cell_length_c 6.217
_cell_angle_alpha 90.00
_cell_angle_beta 90.00
_cell_angle_gamma 90.00
loop_
_atom_site_label
_atom_site_type_symbol
_atom_site_fract_x
_atom_site_fract_y
_atom_site_fract_z
_atom_site_occupancy
Zr1 Zr 0.000 0.000 0.000 1
Tl1 Tl 0.000 0.000 0.500 1
Os1 Os 0.500 0.500 0.500 1
F1 F 0.000 0.500 0.000 1

Entry 12:
# MoHI3, optimized geometry, DFT PBE
# - DOS(E_F) (states/eV/atom) = 1.503
# - ΔE to the lowest computed polymorph (meV/atom) = 0
# - total energy (eV/atom) = -3.15
# - size of the total moment (μB per cell) = 4.000
data_MoHI3
_chemical_formula_sum 'Mo1 H1 I3'
_symmetry_space_group_name_H-M 'P m -3 m'
_symmetry_Int_Tables_number 221
_symmetry_space_group_name_Hall '-P 4 2 3'
_cell_length_a 5.643
_cell_length_b 5.643
_cell_length_c 5.643
_cell_angle_alpha 90.00
_cell_angle_beta 90.00
_cell_angle_gamma 90.00
loop_
_atom_site_label
_atom_site_type_symbol
_atom_site_fract_x
_atom_site_fract_y
_atom_site_fract_z
_atom_site_occupancy
Mo1 Mo 0.000 0.000 0.000 1
H1 H 0.500 0.500 0.500 1
I1 I 0.000 0.000 0.500 1

Entry 13:
# RbNaS2, optimized geometry, DFT PBE
# - DOS(E_F) (states/eV/atom) = 0.565
# - ΔE to the lowest computed polymorph (meV/atom) = 517
# - ΔE_f (raw) (eV per atom) = -0.126
# - total energy (eV/atom) = -2.76
# - size of the total moment (μB per cell) = 6.000
data_RbNaS2
_chemical_formula_sum 'Rb3 Na3 S6'
_symmetry_space_group_name_H-M 'R -3 m'
_symmetry_Int_Tables_number 166
_symmetry_space_group_name_Hall '-R 3 2"'
_cell_length_a 4.2235
_cell_length_b 4.2235
_cell_length_c 29.4890
_cell_angle_alpha 90.00
_cell_angle_beta 90.00
_cell_angle_gamma 120.00
loop_
_atom_site_label
_atom_site_type_symbol
_atom_site_fract_x
_atom_site_fract_y
_atom_site_fract_z
_atom_site_occupancy
Rb1 Rb 0.0000 0.0000 0.0000 1
Na1 Na 0.0000 0.0000 0.5000 1
S1 S 0.0000 0.0000 0.4119 1

Entry 14:
# ZrZn2Ir, optimized geometry, DFT PBE
# - DOS(E_F) (states/eV/atom) = 0.603
# - ΔH_f (0 K) (meV per atom) = -257.1
# - total energy (eV/atom) = -5.25
# - size of the total moment (μB per cell) = 0.000
data_ZrZn2Ir
_chemical_formula_sum 'Zr1 Zn2 Ir1'
_symmetry_space_group_name_H-M 'P m m m'
_symmetry_Int_Tables_number 47
_symmetry_space_group_name_Hall '-P 2 2'
_cell_length_a 2.913
_cell_length_b 3.963
_cell_length_c 5.618
_cell_angle_alpha 90.00
_cell_angle_beta 90.00
_cell_angle_gamma 90.00
loop_
_atom_site_label
_atom_site_type_symbol
_atom_site_fract_x
_atom_site_fract_y
_atom_site_fract_z
_atom_site_occupancy
Zr1 Zr 0.000 0.000 0.000 1
Zn1 Zn 0.500 0.500 0.278 1
Ir1 Ir 0.000 0.000 0.500 1

Entry 15:
# YFeNi4, optimized geometry, DFT PBE
# - DOS(E_F) (states/eV/atom) = 0.942
# - ΔH_f (0 K) (meV per atom) = -243.7
# - total energy (eV/atom) = -6.59
# - size of the total moment (μB per cell) = 4.010
data_YFeNi4
_chemical_formula_sum 'Y1 Fe1 Ni4'
_symmetry_space_group_name_H-M 'P -6 m 2'
_symmetry_Int_Tables_number 187
_symmetry_space_group_name_Hall 'P -6 2'
_cell_length_a 4.9571
_cell_length_b 4.9571
_cell_length_c 3.9289
_cell_angle_alpha 90.00
_cell_angle_beta 90.00
_cell_angle_gamma 120.00
loop_
_atom_site_label
_atom_site_type_symbol
_atom_site_fract_x
_atom_site_fract_y
_atom_site_fract_z
_atom_site_occupancy
Y1 Y 0.0000 0.0000 0.0000 1
Fe1 Fe 0.3333 0.6667 0.0000 1
Ni1 Ni 0.5005 0.0009 0.5000 1
Ni2 Ni 0.6667 0.3333 0.0000 1

Entry 16:
# BiPd2Se, optimized geometry, DFT PBE
# - DOS(E_F) (states/eV/atom) = 0.872
# - ΔE_f (raw) (eV per atom) = -0.055
# - total energy (eV/atom) = -4.49
# - size of the total moment (μB per cell) = 0.000
data_BiPd2Se
_chemical_formula_sum 'Bi4 Pd8 Se4'
_symmetry_space_group_name_H-M 'I -4 2 d'
_symmetry_Int_Tables_number 122
_symmetry_space_group_name_Hall 'I -4 2bw'
_cell_length_a 5.985
_cell_length_b 5.985
_cell_length_c 11.760
_cell_angle_alpha 90.00
_cell_angle_beta 90.00
_cell_angle_gamma 90.00
loop_
_atom_site_label
_atom_site_type_symbol
_atom_site_fract_x
_atom_site_fract_y
_atom_site_fract_z
_atom_site_occupancy
Bi1 Bi 0.000 0.000 0.000 1
Pd1 Pd 0.209 0.250 0.625 1
Se1 Se 0.000 0.000 0.500 1

Entry 17:
# MnAs2Pd8, optimized geometry, DFT PBE
# - DOS(E_F) (states/eV/atom) = 0.472
# - ΔE to the lowest computed polymorph (meV/atom) = 88
# - ΔH_f (0 K) (meV per atom) = -200.7
# - total energy (eV/atom) = -5.66
# - size of the total moment (μB per cell) = 9.356
data_MnAs2Pd8
_chemical_formula_sum 'Mn2 As4 Pd16'
_symmetry_space_group_name_H-M 'C 1 2/m 1'
_symmetry_Int_Tables_number 12
_symmetry_space_group_name_Hall '-C 2y'
_cell_length_a 13.706
_cell_length_b 5.410
_cell_length_c 4.987
_cell_angle_alpha 90.00
_cell_angle_beta 107.85
_cell_angle_gamma 90.00
loop_
_atom_site_label
_atom_site_type_symbol
_atom_site_fract_x
_atom_site_fract_y
_atom_site_fract_z
_atom_site_occupancy
Mn1 Mn 0.000 0.000 0.000 1
As1 As 0.238 0.500 0.327 1
Pd1 Pd 0.085 0.500 0.929 1
Pd2 Pd 0.100 0.249 0.467 1
Pd3 Pd 0.203 0.000 0.098 1

Entry 18:
# Ti6Bi2P, optimized geometry, DFT PBE
# - DOS(E_F) (states/eV/atom) = 1.012
# - ΔH_f (0 K) (meV per atom) = -485.6
# - total energy (eV/atom) = -7.21
# - size of the total moment (μB per cell) = 0.001
data_Ti6Bi2P
_chemical_formula_sum 'Ti6 Bi2 P1'
_symmetry_space_group_name_H-M 'P -6 2 m'
_symmetry_Int_Tables_number 189
_symmetry_space_group_name_Hall 'P -6 -2'
_cell_length_a 7.3483
_cell_length_b 7.3483
_cell_length_c 3.5399
_cell_angle_alpha 90.00
_cell_angle_beta 90.00
_cell_angle_gamma 120.00
loop_
_atom_site_label
_atom_site_type_symbol
_atom_site_fract_x
_atom_site_fract_y
_atom_site_fract_z
_atom_site_occupancy
Ti1 Ti 0.0000 0.2342 0.0000 1
Ti2 Ti 0.0000 0.6455 0.5000 1
Bi1 Bi 0.3333 0.6667 0.0000 1
P1 P 0.0000 0.0000 0.5000 1

Entry 19:
# BaLaIr, optimized geometry, DFT PBE
# - DOS(E_F) (states/eV/atom) = 0.478
# - ΔE to the lowest computed polymorph (meV/atom) = 9
# - ΔH_f (0 K) (meV per atom) = -428.6
# - total energy (eV/atom) = -5.67
# - size of the total moment (μB per cell) = 0.000
data_BaLaIr
_chemical_formula_sum 'Ba4 La4 Ir4'
_symmetry_space_group_name_H-M 'C 1 2/m 1'
_symmetry_Int_Tables_number 12
_symmetry_space_group_name_Hall '-C 2y'
_cell_length_a 7.537
_cell_length_b 4.350
_cell_length_c 14.676
_cell_angle_alpha 90.00
_cell_angle_beta 100.00
_cell_angle_gamma 90.00
loop_
_atom_site_label
_atom_site_type_symbol
_atom_site_fract_x
_atom_site_fract_y
_atom_site_fract_z
_atom_site_occupancy
Ba1 Ba 0.215 0.000 0.147 1
La1 La 0.125 0.500 0.370 1
Ir1 Ir 0.073 0.000 0.720 1

Entry 20:
# Pm2Nd2SmY6, optimized geometry, DFT PBE
# - DOS(E_F) (states/eV/atom) = 1.630
# - ΔH_f (0 K) (meV per atom) = 141.9
# - total energy (eV/atom) = -5.54
# - size of the total moment (μB per cell) = 0.000
data_Pm2Nd2SmY6
_chemical_formula_sum 'Pm4 Nd4 Sm2 Y12'
_symmetry_space_group_name_H-M 'C m m m'
_symmetry_Int_Tables_number 65
_symmetry_space_group_name_Hall '-C 2 2'
_cell_length_a 5.747
_cell_length_b 12.164
_cell_length_c 10.645
_cell_angle_alpha 90.00
_cell_angle_beta 90.00
_cell_angle_gamma 90.00
loop_
_atom_site_label
_atom_site_type_symbol
_atom_site_fract_x
_atom_site_fract_y
_atom_site_fract_z
_atom_site_occupancy
Pm1 Pm 0.000 0.208 0.000 1
Nd1 Nd 0.000 0.132 0.500 1
Sm1 Sm 0.000 0.500 0.000 1
Y1 Y 0.000 0.000 0.205 1
Y2 Y 0.000 0.349 0.296 1